The following is a PBE calculation of crystalline BaTl2Te at its relaxed geometry, from Alexandria.

abc: 9.4425 9.4425 7.5099
angles: 51.05 51.05 90.00
Atoms (fractional coordinates):
Tl  0.5912  0.1250  0.2500
Tl  0.1588  0.6250  0.2500
Tl  0.3750  0.4088  0.7500
Tl  0.8750  0.8412  0.7500
Te  0.5000  0.5000  0.0000
Te  0.2500  0.7500  0.5000
Ba  0.0000  0.0000  0.0000
Ba  0.7500  0.2500  0.5000

Properties
* total magnetization: 0.00 μB per cell
* offset from the most stable computed form: 0.54 eV per formula unit
* symmetry: I-42d (122)
* DFT total energy: -2.97 eV per atom
* energy relative to the elements, uncorrected: -0.52 eV/atom